(1)
Below is a relaxed structure of VReI2O, with properties calculated at the PBE+U level.

## Properties
The calculation puts the density of states at the Fermi level at 2.12 states/eV/f.u. As for the relative energy among the computed polymorphs: 20 meV per atom. For the total energy, the calculation gives -5.023 eV per atom. The calculated density comes out at 6.892 Mg/m³.

Unit cell a=5.7855 b=5.7855 c=3.6494 alpha=90.00 beta=90.00 gamma=90.00
With the nearest neighbours (Å) after each atom.
Fractional positions:
V 0.0000 0.0000 0.0000  2 O 1.82
Re 0.5000 0.5000 0.5000  8 I 3.42, 2 Re 3.65
I 0.0000 0.5000 0.0000  2 V 2.89
I 0.5000 0.0000 0.0000  2 V 2.89
O 0.0000 0.0000 0.5000  2 V 1.82

(2)
Below is a relaxed structure of VReI2O, with properties calculated at the PBE+U level.

## Properties
The calculation puts the density of states at the Fermi level at 4.69 states/eV/f.u. As for the relative energy among the computed polymorphs: 0 meV per atom. For the total energy, the calculation gives -5.043 eV per atom. The calculated density comes out at 7.154 Mg/m³.

Unit cell a=5.5897 b=5.5897 c=3.7661 alpha=90.00 beta=90.00 gamma=90.00
With the nearest neighbours (Å) after each atom.
Fractional positions:
V 0.0000 0.0000 0.0000  8 I 3.37, 2 V 3.77
Re 0.5000 0.5000 0.5000  2 O 1.88
I 0.0000 0.5000 0.5000  2 Re 2.79
I 0.5000 0.0000 0.5000  2 Re 2.79
O 0.5000 0.5000 0.0000  2 Re 1.88